This record from the Alexandria database describes an optimized crystal structure of KZr2W. The functional is PBE.

abc: 6.5133 6.1370 2.7227
angles: 80.92 83.07 120.26
Element x y z (fractional)
1 K 0.0000 0.5000 0.5000
2 W 0.5000 0.5000 0.0000
3 Zr 0.0000 0.0000 0.0000
4 Zr 0.5000 0.0000 0.5000

Output
ΔH_f (0 K) ... 1.069 eV per atom
Energy above the most stable polymorph in this dataset ... 701 meV per atom
Total DFT energy (no corrections) ... -26.87 eV for the cell shown

***

This record from the Alexandria database describes an optimized crystal structure of KZr2W. The functional is PBE.

abc: 8.6674 8.6674 8.6674
angles: 157.79 149.54 38.02
Element x y z (fractional)
1 K 0.5710 0.5710 0.0000
2 W 0.7673 0.2673 0.5000
3 Zr 0.8933 0.8933 0.0000
4 Zr 0.2685 0.7685 0.5000

Output
ΔH_f (0 K) ... 0.800 eV per atom
Energy above the most stable polymorph in this dataset ... 432 meV per atom
Total DFT energy (no corrections) ... -27.95 eV for the cell shown